Material: Th6HgIr
Method: DFT, PBE
State: optimized geometry

Its uncorrected energy is -161.63 eV for the cell shown. Its calculated formation energy is -0.024 eV/atom. Its volume is 31.97 Å³/atom. As for the mass density: 11.59 g/cm³.

The structure belongs to space group R-3m (No. 166, hexagonal axes); the cell edges are 10.1167, 10.1167 and 8.6570 Å and the angles 90.00°, 90.00° and 120.00°. Symmetry generates all atoms from Th at (0.0623, 0.5311, 0.3341), Hg at (0.0000, 0.0000, 0.0000) and Ir at (0.0000, 0.0000, 0.5000).